(1)
This record from Alexandria describes a relaxed La2RuCl crystal. The functional is PBEsol.

Unit cell a=3.3838 b=3.3838 c=8.0167 alpha=90.00 beta=90.00 gamma=90.00
With the nearest neighbours (Å) after each atom.
Atoms (fractional coordinates):
La 0.0000 0.0000 0.2209  4 Ru 2.98, 4 Cl 3.28
La 0.0000 0.0000 0.7791  4 Ru 2.98, 4 Cl 3.28
Ru 0.5000 0.5000 0.0000  8 La 2.98
Cl 0.5000 0.5000 0.5000  8 La 3.28, 4 Cl 3.38

ΔE to the lowest computed polymorph   34 meV/atom
Space-group type   P4/mmm
Volume   92 Å³/cell
Raw formation energy   -0.91 eV/atom
Total magnetization   0.00 μB/f.u.

(2)
This record from Alexandria describes a relaxed ReRu2Cl crystal. The functional is PBEsol.

Unit cell a=5.0451 b=5.0451 c=4.2299 alpha=90.51 beta=90.51 gamma=32.03
With the nearest neighbours (Å) after each atom.
Atoms (fractional coordinates):
Re 0.0000 0.0000 0.0000  1 Cl 2.41, 4 Ru 2.53-2.66
Ru 0.2895 0.2895 0.2307  4 Cl 2.46-2.61, 2 Re 2.66
Ru 0.5680 0.5680 0.4768  1 Cl 2.32, 2 Re 2.53
Cl 0.7851 0.7851 0.7097  3 Ru 2.32-2.46, 1 Re 2.41

ΔE to the lowest computed polymorph   0 meV/atom
Space-group type   Cm
Volume   57 Å³/cell
Raw formation energy   0.61 eV/atom
Total magnetization   0.00 μB/f.u.

(3)
This record from Alexandria describes a relaxed ReTcAu2 crystal. The functional is PBEsol.

Unit cell a=4.4611 b=4.4611 c=4.4611 alpha=60.00 beta=60.00 gamma=60.00
With the nearest neighbours (Å) after each atom.
Atoms (fractional coordinates):
Re 0.0000 0.0000 0.0000  4 Tc 2.73, 4 Au 2.73
Tc 0.7500 0.7500 0.7500  4 Re 2.73, 4 Au 2.73
Au 0.2500 0.2500 0.2500  4 Re 2.73, 4 Au 2.73
Au 0.5000 0.5000 0.5000  4 Tc 2.73, 4 Au 2.73

ΔE to the lowest computed polymorph   494 meV/atom
Space-group type   F-43m
Volume   63 Å³/cell
ΔH_f (0 K)   0.671 eV/atom
Total magnetization   0.00 μB/f.u.

(4)
This record from Alexandria describes a relaxed AlCrSb2 crystal. The functional is PBEsol.

Unit cell a=4.6862 b=4.6862 c=3.7322 alpha=90.00 beta=90.00 gamma=90.00
With the nearest neighbours (Å) after each atom.
Atoms (fractional coordinates):
Al 0.0000 0.0000 0.0000  8 Sb 3.00, 4 Cr 3.31
Cr 0.5000 0.5000 0.0000  8 Sb 3.00, 4 Al 3.31
Sb 0.0000 0.5000 0.5000  4 Cr 3.00, 4 Al 3.00, 4 Sb 3.31
Sb 0.5000 0.0000 0.5000  4 Cr 3.00, 4 Al 3.00, 4 Sb 3.31

Space-group type   P4/mmm
Volume   82 Å³/cell
Raw formation energy   0.36 eV/atom
Total magnetization   3.68 μB/f.u.

(5)
This record from Alexandria describes a relaxed H6PbCI3N crystal. The functional is PBEsol.

Unit cell a=8.6948 b=8.6948 c=12.8211 alpha=90.45 beta=90.45 gamma=89.95
With the nearest neighbours (Å) after each atom.
Atoms (fractional coordinates):
H 0.0490 0.6799 0.5122  1 C 1.10
H 0.1041 0.7641 0.8998  1 N 1.04
H 0.1107 0.8893 0.0000  1 N 1.05
H 0.1781 0.5514 0.0111  1 C 1.10
H 0.1832 0.6650 0.6195  1 C 1.10
H 0.1861 0.6843 0.1196  1 C 1.10
H 0.1991 0.5374 0.5083  1 C 1.10
H 0.2465 0.8790 0.5045  1 N 1.05
H 0.2607 0.7582 0.4023  1 N 1.04
H 0.3193 0.7025 0.0134  1 C 1.10
H 0.3874 0.7450 0.5012  1 N 1.05
H 0.5374 0.1991 0.0083  1 C 1.10
H 0.5514 0.1781 0.5111  1 C 1.10
H 0.6650 0.1832 0.1195  1 C 1.10
H 0.6799 0.0490 0.0122  1 C 1.10
H 0.6843 0.1861 0.6196  1 C 1.10
H 0.7025 0.3193 0.5134  1 C 1.10
H 0.7450 0.3874 0.0012  1 N 1.05
H 0.7472 0.9777 0.4977  1 N 1.05
H 0.7582 0.2607 0.9023  1 N 1.04
H 0.7641 0.1041 0.3998  1 N 1.04
H 0.8790 0.2465 0.0045  1 N 1.05
H 0.8893 0.1107 0.5000  1 N 1.05
H 0.9777 0.7472 0.9977  1 N 1.05
Pb 0.1836 0.1896 0.7738  6 I 3.12-3.23
Pb 0.1896 0.1836 0.2738  6 I 3.12-3.23
Pb 0.6708 0.6882 0.7746  6 I 3.14-3.24
Pb 0.6882 0.6708 0.2746  6 I 3.14-3.24
C 0.1687 0.6542 0.5345  3 H 1.10
C 0.2013 0.6710 0.0350  3 H 1.10
C 0.6542 0.1687 0.0345  3 H 1.10
C 0.6710 0.2013 0.5350  3 H 1.10
I 0.1675 0.1755 0.0252  2 H 2.55-2.59
I 0.1755 0.1675 0.5252  2 H 2.55-2.59
I 0.3565 0.8693 0.7750  2 H 2.88-3.05, 2 Pb 3.15-3.16
I 0.3748 0.4912 0.2821  2 H 2.95-3.14, 2 Pb 3.12-3.14
I 0.4912 0.3748 0.7821  2 H 2.95-3.14, 2 Pb 3.12-3.14
I 0.4913 0.9792 0.2841  3 H 2.99-3.18, 2 Pb 3.17-3.18
I 0.6774 0.6933 0.5265  2 H 2.58
I 0.6933 0.6774 0.0265  2 H 2.58
I 0.8693 0.3565 0.2750  2 H 2.88-3.05, 2 Pb 3.15-3.16
I 0.8692 0.9961 0.7802  3 H 2.94-3.25, 2 Pb 3.19-3.21
I 0.9792 0.4913 0.7841  3 H 2.99-3.18, 2 Pb 3.17-3.18
I 0.9961 0.8692 0.2802  3 H 2.94-3.25, 2 Pb 3.19-3.21
N 0.0921 0.7736 0.9803  3 H 1.04-1.05
N 0.2715 0.7654 0.4831  3 H 1.04-1.05
N 0.7654 0.2715 0.9831  3 H 1.04-1.05
N 0.7736 0.0921 0.4803  3 H 1.04-1.05

ΔE to the lowest computed polymorph   2 meV/atom
Space-group type   Cc
Volume   969 Å³/cell
Total magnetization   0.00 μB/f.u.

(6)
This record from Alexandria describes a relaxed CaSc2AsPb crystal. The functional is PBEsol.

Unit cell a=5.3136 b=5.3136 c=5.6413 alpha=90.00 beta=90.00 gamma=90.00
With the nearest neighbours (Å) after each atom.
Atoms (fractional coordinates):
Ca 0.0000 0.0000 0.0000  2 Pb 2.82
Sc 0.0000 0.5000 0.5000  2 Pb 2.66
Sc 0.5000 0.0000 0.5000  2 Pb 2.66
As 0.5000 0.5000 0.0000  4 Ca 3.76, 8 Sc 3.87
Pb 0.0000 0.0000 0.5000  4 Sc 2.66, 2 Ca 2.82

Space-group type   P4/mmm
Volume   159 Å³/cell
ΔH_f (0 K)   0.239 eV/atom
Total magnetization   0.00 μB/f.u.